Entry 1:
Entry from Alexandria: a geometry-optimized La6Ru2N structure (GGA-PBE).

* formation energy (no corrections): -4.4 eV/f.u.

Unit cell a=6.7411 b=7.3730 c=9.9452 alpha=90.00 beta=90.21 gamma=90.00
Closest atoms and distances in Å follow each position.
Element x y z (fractional)
Ru 0.0355 0.6059 0.7545  4 La 2.70-3.02
Ru 0.4645 0.1059 0.7455  4 La 2.70-3.02
Ru 0.5355 0.8941 0.2545  4 La 2.70-3.02
Ru 0.9645 0.3941 0.2455  4 La 2.70-3.02
La 0.3137 0.8354 0.5623  1 N 2.51
La 0.6664 0.1893 0.0666  1 N 2.63
La 0.8743 0.9412 0.7416  1 N 2.59, 1 Ru 2.70
La 0.1664 0.3107 0.5666  1 N 2.63
La 0.6257 0.4412 0.7584  1 N 2.59, 1 Ru 2.70
La 0.6863 0.1646 0.4377  1 N 2.51
La 0.1257 0.0588 0.2584  1 N 2.59, 1 Ru 2.70
La 0.1863 0.3354 0.9377  1 N 2.51
La 0.3336 0.8107 0.9334  1 N 2.63
La 0.3743 0.5588 0.2416  1 N 2.59, 1 Ru 2.70
La 0.8336 0.6893 0.4334  1 N 2.63
La 0.8137 0.6646 0.0623  1 N 2.51
N 0.0000 0.0000 0.5000  6 La 2.51-2.63
N 0.5000 0.5000 0.0000  6 La 2.51-2.63

Entry 2:
Entry from Alexandria: a geometry-optimized Ho6In3Pb structure (GGA-PBE).

* formation energy: -264 meV/atom

Unit cell a=6.7219 b=10.0805 c=10.0805 alpha=122.10 beta=90.00 gamma=90.00
Closest atoms and distances in Å follow each position.
Element x y z (fractional)
Ho 0.7856 0.2960 0.7040  1 Pb 3.15, 1 In 3.28, 2 Ho 3.35
Ho 0.7750 0.0136 0.9864  2 Pb 3.09-3.25, 4 In 3.21-3.31, 2 Ho 3.39
Ho 0.5540 0.6370 0.7491  4 In 3.16-3.30, 1 Pb 3.43, 1 Ho 3.46
Ho 0.8010 0.9068 0.4532  3 In 3.11-3.20, 1 Pb 3.21, 2 Ho 3.35-3.46
Ho 0.2750 0.9864 0.0136  2 Pb 3.09-3.25, 4 In 3.21-3.31, 2 Ho 3.39
Ho 0.2856 0.7040 0.2960  1 Pb 3.15, 1 In 3.28, 2 Ho 3.35
Ho 0.0540 0.3630 0.2509  4 In 3.16-3.30, 1 Pb 3.43, 1 Ho 3.46
Ho 0.8010 0.5468 0.0932  3 In 3.11-3.20, 1 Pb 3.21, 2 Ho 3.35-3.46
Ho 0.0540 0.7491 0.6370  4 In 3.16-3.30, 1 Pb 3.43, 1 Ho 3.46
Ho 0.5540 0.2509 0.3630  4 In 3.16-3.30, 1 Pb 3.43, 1 Ho 3.46
Ho 0.3010 0.4532 0.9068  3 In 3.11-3.20, 1 Pb 3.21, 2 Ho 3.35-3.46
Ho 0.3010 0.0932 0.5468  3 In 3.11-3.20, 1 Pb 3.21, 2 Ho 3.35-3.46
In 0.1595 0.4152 0.5848  2 In 3.15, 7 Ho 3.20-3.29
In 0.4975 0.9110 0.6876  6 Ho 3.11-3.31, 1 In 3.15
In 0.6595 0.5848 0.4152  2 In 3.15, 7 Ho 3.20-3.29
In 0.9975 0.6876 0.9110  6 Ho 3.11-3.31, 1 In 3.15
In 0.9975 0.0890 0.3124  6 Ho 3.11-3.31, 1 In 3.15
In 0.4975 0.3124 0.0890  6 Ho 3.11-3.31, 1 In 3.15
Pb 0.5602 0.8488 0.1512  7 Ho 3.09-3.43
Pb 0.0602 0.1512 0.8488  7 Ho 3.09-3.43

Entry 3:
Entry from Alexandria: a geometry-optimized InTe2W structure (GGA-PBE).

* formation energy (no corrections): 1.0 eV/f.u.

Unit cell a=5.5912 b=5.5912 c=7.0425 alpha=66.62 beta=66.62 gamma=35.85
Closest atoms and distances in Å follow each position.
Element x y z (fractional)
W 0.4900 0.4900 0.3708  4 Te 2.70-2.71, 3 In 2.88-3.02
Te 0.8242 0.8242 0.6656  2 W 2.71
Te 0.9827 0.9827 0.0801  2 W 2.70
In 0.2031 0.2031 0.3835  3 W 2.88-3.02

Entry 4:
Entry from Alexandria: a geometry-optimized TlAs2Ir2 structure (GGA-PBE).

* formation energy: 116 meV/atom

Unit cell a=4.4183 b=4.4183 c=6.0046 alpha=68.41 beta=68.41 gamma=90.00
Closest atoms and distances in Å follow each position.
Element x y z (fractional)
Tl 0.0000 0.0000 0.0000  8 As 3.38, 10 Ir 3.42-3.73
Ir 0.3637 0.3637 0.2727  4 As 2.50, 1 Ir 2.80
Ir 0.6363 0.6363 0.7273  4 As 2.50, 1 Ir 2.80
As 0.2500 0.7500 0.5000  4 Ir 2.50
As 0.7500 0.2500 0.5000  4 Ir 2.50

Entry 5:
Entry from Alexandria: a geometry-optimized YBS3 structure (GGA-PBE).

* formation energy (no corrections): 3.0 eV/f.u.
* energy above the lowest structure with this stoichiometry: 9.11 eV/f.u.

Unit cell a=5.2656 b=5.2656 c=5.2656 alpha=90.00 beta=90.00 gamma=90.00
Closest atoms and distances in Å follow each position.
Element x y z (fractional)
Y 0.0000 0.0000 0.0000  6 S 2.63
S 0.0000 0.5000 0.0000  2 Y 2.63
S 0.5000 0.0000 0.0000  2 Y 2.63
S 0.0000 0.0000 0.5000  2 Y 2.63
B 0.5000 0.5000 0.5000  12 S 3.72

Entry 6:
Entry from Alexandria: a geometry-optimized ScC2 structure (GGA-PBE).

* formation energy: 155 meV/atom

Unit cell a=4.4853 b=4.4853 c=5.0481 alpha=88.41 beta=88.41 gamma=36.53
Closest atoms and distances in Å follow each position.
Element x y z (fractional)
C 0.6583 0.6583 0.3571  1 C 1.36
C 0.4881 0.4881 0.8140  3 C 1.46-1.62
C 0.6181 0.6181 0.6203  2 C 1.36-1.46
C 0.9334 0.9334 0.9470  2 C 1.62
Sc 0.2067 0.2067 0.9927  10 C 2.34-2.54
Sc 0.9288 0.9288 0.4356  9 C 2.35-2.58

DFT total energy readings, ordered: -6.7638; -4.2032; -5.2423; -5.7615; -4.4969; -8.1050 eV per atom